The following is a PBE with a Hubbard U calculation of GaNiN2O after structural relaxation, from Alexandria via LeMat-Bulk.

a b c (Å): 3.911 3.911 3.755
angles (deg): 90.00 90.00 90.00
Atoms (fractional coordinates):
Ga  0.000  0.000  0.000
Ni  0.500  0.500  0.500
N  0.000  0.500  0.000
N  0.500  0.000  0.000
O  0.000  0.000  0.500

Output
M_tot (μB per cell): 0.774
Symmetry: P4/mmm (123)
E_tot (eV for the cell shown): -20.18